This record from Alexandria via LeMat-Bulk describes crystalline CeCo2As2 at its relaxed geometry. The functional is PBE.

Cell lengths 7.855, 6.710, 5.687 Å; angles 78.15, 56.73, 45.12 degrees
Fractional positions:
1 Ce 0.125 0.125 0.125
2 Ce 0.875 0.875 0.875
3 Co 0.268 0.268 0.482
4 Co 0.482 0.482 0.268
5 Co 0.518 0.518 0.732
6 Co 0.732 0.732 0.518
7 As 0.182 0.568 0.182
8 As 0.432 0.818 0.432
9 As 0.568 0.182 0.568
10 As 0.818 0.432 0.818

Results
Formation energy ... -0.6917 eV/atom
Final energy ... -6.5806 eV/atom
Density of states at the Fermi level ... 1.281 states/eV/atom
Mass density ... 8.014 g cm⁻³
Spin magnetization ... 0.0 μB per formula unit
Space group ... No. 70

***

This record from Alexandria via LeMat-Bulk describes crystalline CeCoAs3 at its relaxed geometry. The functional is PBE.

Cell lengths 11.994, 5.654, 5.523 Å; angles 90.00, 90.00, 90.00 degrees
Fractional positions:
1 Ce 0.197 0.003 0.250
2 Ce 0.197 0.497 0.750
3 Ce 0.803 0.503 0.250
4 Ce 0.803 0.997 0.750
5 Co 0.414 0.750 0.000
6 Co 0.414 0.750 0.500
7 Co 0.586 0.250 0.000
8 Co 0.586 0.250 0.500
9 As 0.001 0.750 0.000
10 As 0.001 0.750 0.500
11 As 0.285 0.504 0.250
12 As 0.285 0.996 0.750
13 As 0.441 0.101 0.250
14 As 0.441 0.399 0.750
15 As 0.559 0.601 0.250
16 As 0.559 0.899 0.750
17 As 0.715 0.004 0.250
18 As 0.715 0.496 0.750
19 As 0.999 0.250 0.000
20 As 0.999 0.250 0.500

Results
Formation energy ... -0.7153 eV/atom
Final energy ... -6.1130 eV/atom
Density of states at the Fermi level ... 0.788 states/eV/atom
Mass density ... 7.516 g cm⁻³
Spin magnetization ... 0.0 μB per formula unit
Space group ... No. 57

***

This record from Alexandria via LeMat-Bulk describes crystalline Ce4Co2As at its relaxed geometry. The functional is PBE.

Cell lengths 7.415, 7.415, 7.415 Å; angles 105.86, 105.86, 116.96 degrees
Fractional positions:
1 Ce 0.002 0.394 0.236
2 Ce 0.144 0.252 0.736
3 Ce 0.157 0.765 0.764
4 Ce 0.235 0.998 0.392
5 Ce 0.515 0.407 0.264
6 Ce 0.593 0.856 0.108
7 Ce 0.606 0.843 0.608
8 Ce 0.748 0.485 0.892
9 Co 0.247 0.625 0.122
10 Co 0.375 0.497 0.622
11 Co 0.503 0.125 0.878
12 Co 0.875 0.753 0.378
13 As 0.000 0.000 0.000
14 As 0.750 0.250 0.500

Results
Formation energy ... -0.4874 eV/atom
Final energy ... -6.5726 eV/atom
Density of states at the Fermi level ... 1.559 states/eV/atom
Mass density ... 8.076 g cm⁻³
Spin magnetization ... 0.0 μB per formula unit
Space group ... No. 122

***

This record from Alexandria via LeMat-Bulk describes crystalline CeCoAs at its relaxed geometry. The functional is PBE.

Cell lengths 5.002, 5.002, 5.002 Å; angles 135.40, 135.40, 64.92 degrees
Fractional positions:
1 Ce 0.000 0.000 0.000
2 Co 0.607 0.607 0.000
3 As 0.332 0.332 0.000

Results
Formation energy ... -0.3131 eV/atom
Final energy ... -6.2095 eV/atom
Density of states at the Fermi level ... 0.724 states/eV/atom
Mass density ... 7.479 g cm⁻³
Spin magnetization ... 0.0 μB per formula unit
Space group ... No. 107

***

This record from Alexandria via LeMat-Bulk describes crystalline Ce4Co3As8 at its relaxed geometry. The functional is PBE.

Cell lengths 4.022, 4.022, 18.563 Å; angles 90.00, 90.00, 90.00 degrees
Fractional positions:
1 Ce 0.000 0.500 0.116
2 Ce 0.000 0.500 0.628
3 Ce 0.500 0.000 0.372
4 Ce 0.500 0.000 0.884
5 Co 0.000 0.000 0.000
6 Co 0.000 0.000 0.500
7 Co 0.500 0.500 0.500
8 As 0.000 0.000 0.245
9 As 0.000 0.000 0.755
10 As 0.000 0.500 0.431
11 As 0.000 0.500 0.938
12 As 0.500 0.000 0.062
13 As 0.500 0.000 0.569
14 As 0.500 0.500 0.245
15 As 0.500 0.500 0.755

Results
Formation energy ... -0.8765 eV/atom
Final energy ... -6.3597 eV/atom
Density of states at the Fermi level ... 1.098 states/eV/atom
Mass density ... 7.393 g cm⁻³
Spin magnetization ... 2.4 μB per formula unit
Space group ... No. 115

***

This record from Alexandria via LeMat-Bulk describes crystalline Ce4CoAs at its relaxed geometry. The functional is PBE.

Cell lengths 8.001, 8.001, 5.495 Å; angles 102.98, 102.98, 118.40 degrees
Fractional positions:
1 Ce 0.081 0.688 0.951
2 Ce 0.216 0.368 0.621
3 Ce 0.312 0.919 0.549
4 Ce 0.368 0.216 0.121
5 Ce 0.632 0.784 0.879
6 Ce 0.688 0.081 0.451
7 Ce 0.784 0.632 0.379
8 Ce 0.919 0.312 0.049
9 Co 0.008 0.992 0.750
10 Co 0.992 0.008 0.250
11 As 0.387 0.613 0.250
12 As 0.613 0.387 0.750

Results
Formation energy ... -0.4625 eV/atom
Final energy ... -6.3776 eV/atom
Density of states at the Fermi level ... 2.504 states/eV/atom
Mass density ... 8.292 g cm⁻³
Spin magnetization ... 2.1 μB per formula unit
Space group ... No. 15

***

This record from Alexandria via LeMat-Bulk describes crystalline CeCo3As2 at its relaxed geometry. The functional is PBE.

Cell lengths 7.773, 7.773, 7.070 Å; angles 114.84, 114.84, 28.94 degrees
Fractional positions:
1 Ce 0.150 0.150 0.067
2 Ce 0.850 0.850 0.933
3 Co 0.038 0.038 0.383
4 Co 0.314 0.314 0.554
5 Co 0.412 0.412 0.344
6 Co 0.588 0.588 0.656
7 Co 0.686 0.686 0.446
8 Co 0.962 0.962 0.617
9 As 0.192 0.192 0.680
10 As 0.476 0.476 0.802
11 As 0.524 0.524 0.198
12 As 0.808 0.808 0.320

Results
Formation energy ... -0.5491 eV/atom
Final energy ... -6.6408 eV/atom
Density of states at the Fermi level ... 1.172 states/eV/atom
Mass density ... 8.324 g cm⁻³
Spin magnetization ... 2.3 μB per formula unit
Space group ... No. 12

***

This record from Alexandria via LeMat-Bulk describes crystalline Ce2CoAs4 at its relaxed geometry. The functional is PBE.

Cell lengths 4.057, 4.057, 9.019 Å; angles 90.00, 90.00, 90.00 degrees
Fractional positions:
1 Ce 0.000 0.500 0.236
2 Ce 0.500 0.000 0.764
3 Co 0.500 0.500 0.000
4 As 0.000 0.000 0.500
5 As 0.000 0.500 0.874
6 As 0.500 0.000 0.126
7 As 0.500 0.500 0.500

Results
Formation energy ... -0.8962 eV/atom
Final energy ... -6.2636 eV/atom
Density of states at the Fermi level ... 1.119 states/eV/atom
Mass density ... 7.148 g cm⁻³
Spin magnetization ... 0.9 μB per formula unit
Space group ... No. 115

***

This record from Alexandria via LeMat-Bulk describes crystalline Ce2CoAs at its relaxed geometry. The functional is PBE.

Cell lengths 8.659, 8.659, 8.659 Å; angles 24.73, 24.73, 24.73 degrees
Fractional positions:
1 Ce 0.091 0.091 0.091
2 Ce 0.909 0.909 0.909
3 Co 0.000 0.000 0.000
4 As 0.500 0.500 0.500

Results
Formation energy ... -0.0981 eV/atom
Final energy ... -6.0039 eV/atom
Density of states at the Fermi level ... 1.380 states/eV/atom
Mass density ... 6.879 g cm⁻³
Spin magnetization ... 0.6 μB per formula unit
Space group ... No. 166

***

This record from Alexandria via LeMat-Bulk describes crystalline CeCo3As3 at its relaxed geometry. The functional is PBE.

Cell lengths 6.365, 6.365, 6.365 Å; angles 90.00, 90.00, 90.00 degrees
Fractional positions:
1 Ce 0.000 0.000 0.000
2 Ce 0.500 0.500 0.500
3 Co 0.000 0.250 0.500
4 Co 0.000 0.750 0.500
5 Co 0.250 0.500 0.000
6 Co 0.500 0.000 0.250
7 Co 0.500 0.000 0.750
8 Co 0.750 0.500 0.000
9 As 0.000 0.500 0.250
10 As 0.000 0.500 0.750
11 As 0.250 0.000 0.500
12 As 0.500 0.250 0.000
13 As 0.500 0.750 0.000
14 As 0.750 0.000 0.500

Results
Formation energy ... -0.3074 eV/atom
Final energy ... -6.1931 eV/atom
Density of states at the Fermi level ... 1.784 states/eV/atom
Mass density ... 6.976 g cm⁻³
Spin magnetization ... 1.6 μB per formula unit
Space group ... No. 223

***

This record from Alexandria via LeMat-Bulk describes crystalline Ce2Co3CuAs4 at its relaxed geometry. The functional is PBE.

Cell lengths 4.186, 4.186, 9.384 Å; angles 90.00, 90.00, 90.00 degrees
Fractional positions:
1 Ce 0.000 0.500 0.248
2 Ce 0.500 0.000 0.752
3 Co 0.000 0.500 0.887
4 Co 0.500 0.000 0.113
5 Co 0.500 0.500 0.500
6 Cu 0.000 0.000 0.500
7 As 0.000 0.000 0.000
8 As 0.000 0.500 0.637
9 As 0.500 0.000 0.363
10 As 0.500 0.500 0.000

Results
Formation energy ... -0.7433 eV/atom
Final energy ... -6.3313 eV/atom
Density of states at the Fermi level ... 0.760 states/eV/atom
Mass density ... 8.284 g cm⁻³
Spin magnetization ... 0.3 μB per formula unit
Space group ... No. 115

***

This record from Alexandria via LeMat-Bulk describes crystalline Ce2FeCo3As4 at its relaxed geometry. The functional is PBE.

Cell lengths 4.136, 4.136, 9.357 Å; angles 90.00, 90.00, 90.00 degrees
Fractional positions:
1 Ce 0.000 0.500 0.248
2 Ce 0.500 0.000 0.752
3 Fe 0.500 0.500 0.000
4 Co 0.000 0.000 0.000
5 Co 0.000 0.500 0.616
6 Co 0.500 0.000 0.384
7 As 0.000 0.000 0.500
8 As 0.000 0.500 0.867
9 As 0.500 0.000 0.133
10 As 0.500 0.500 0.500

Results
Formation energy ... -0.7487 eV/atom
Final energy ... -6.7733 eV/atom
Density of states at the Fermi level ... 0.916 states/eV/atom
Mass density ... 8.428 g cm⁻³
Spin magnetization ... 0.4 μB per formula unit
Space group ... No. 115

***

This record from Alexandria via LeMat-Bulk describes crystalline Ce2GaCo4As3 at its relaxed geometry. The functional is PBE.

Cell lengths 4.083, 4.083, 9.626 Å; angles 90.00, 90.00, 90.00 degrees
Fractional positions:
1 Ce 0.000 0.500 0.246
2 Ce 0.500 0.000 0.754
3 Ga 0.000 0.000 0.500
4 Co 0.000 0.000 0.000
5 Co 0.000 0.500 0.628
6 Co 0.500 0.000 0.372
7 Co 0.500 0.500 0.000
8 As 0.000 0.500 0.870
9 As 0.500 0.000 0.130
10 As 0.500 0.500 0.500

Results
Formation energy ... -0.7271 eV/atom
Final energy ... -6.4537 eV/atom
Density of states at the Fermi level ... 1.020 states/eV/atom
Mass density ... 8.385 g cm⁻³
Spin magnetization ... 1.2 μB per formula unit
Space group ... No. 115

***

This record from Alexandria via LeMat-Bulk describes crystalline CeCoAsH at its relaxed geometry. The functional is PBE.

Cell lengths 4.149, 4.149, 3.826 Å; angles 90.00, 90.00, 120.00 degrees
Fractional positions:
1 Ce 0.000 0.000 0.000
2 Co 0.667 0.333 0.542
3 As 0.333 0.667 0.488
4 H 0.667 0.333 0.987

Results
Final energy ... -6.1174 eV/atom
Density of states at the Fermi level ... 0.401 states/eV/atom
Mass density ... 8.006 g cm⁻³
Spin magnetization ... 0.0 μB per formula unit
Space group ... No. 156

***

This record from Alexandria via LeMat-Bulk describes crystalline Ce2Co3As4Ir at its relaxed geometry. The functional is PBE.

Cell lengths 4.184, 4.184, 9.468 Å; angles 90.00, 90.00, 90.00 degrees
Fractional positions:
1 Ce 0.000 0.500 0.246
2 Ce 0.500 0.000 0.754
3 Co 0.000 0.500 0.887
4 Co 0.500 0.000 0.113
5 Co 0.500 0.500 0.500
6 As 0.000 0.000 0.000
7 As 0.000 0.500 0.643
8 As 0.500 0.000 0.357
9 As 0.500 0.500 0.000
10 Ir 0.000 0.000 0.500

Results
Formation energy ... -0.7929 eV/atom
Final energy ... -6.8574 eV/atom
Density of states at the Fermi level ... 0.447 states/eV/atom
Mass density ... 9.508 g cm⁻³
Spin magnetization ... 0.8 μB per formula unit
Space group ... No. 115

***

This record from Alexandria via LeMat-Bulk describes crystalline Ce2CoAs4Ir3 at its relaxed geometry. The functional is PBE.

Cell lengths 4.313, 4.313, 9.768 Å; angles 90.00, 90.00, 90.00 degrees
Fractional positions:
1 Ce 0.000 0.500 0.247
2 Ce 0.500 0.000 0.753
3 Co 0.500 0.500 0.000
4 As 0.000 0.000 0.500
5 As 0.000 0.500 0.871
6 As 0.500 0.000 0.129
7 As 0.500 0.500 0.500
8 Ir 0.000 0.000 0.000
9 Ir 0.000 0.500 0.621
10 Ir 0.500 0.000 0.379

Results
Formation energy ... -0.7494 eV/atom
Final energy ... -7.1649 eV/atom
Density of states at the Fermi level ... 0.736 states/eV/atom
Mass density ... 11.106 g cm⁻³
Spin magnetization ... 0.9 μB per formula unit
Space group ... No. 115

***

This record from Alexandria via LeMat-Bulk describes crystalline CeCo2AsN at its relaxed geometry. The functional is PBE.

Cell lengths 5.843, 5.843, 6.846 Å; angles 90.00, 90.00, 143.96 degrees
Fractional positions:
1 Ce 0.039 0.961 0.750
2 Ce 0.961 0.039 0.250
3 Co 0.334 0.666 0.550
4 Co 0.334 0.666 0.950
5 Co 0.666 0.334 0.050
6 Co 0.666 0.334 0.450
7 As 0.231 0.769 0.250
8 As 0.769 0.231 0.750
9 N 0.500 0.500 0.000
10 N 0.500 0.500 0.500

Results
Final energy ... -7.4366 eV/atom
Density of states at the Fermi level ... 1.160 states/eV/atom
Mass density ... 8.379 g cm⁻³
Spin magnetization ... 0.6 μB per formula unit
Space group ... No. 63

***

This record from Alexandria via LeMat-Bulk describes crystalline Ce2CoNi3As4 at its relaxed geometry. The functional is PBE.

Cell lengths 4.215, 4.215, 9.322 Å; angles 90.00, 90.00, 90.00 degrees
Fractional positions:
1 Ce 0.000 0.500 0.245
2 Ce 0.500 0.000 0.755
3 Co 0.500 0.500 0.000
4 Ni 0.000 0.000 0.000
5 Ni 0.000 0.500 0.618
6 Ni 0.500 0.000 0.382
7 As 0.000 0.000 0.500
8 As 0.000 0.500 0.871
9 As 0.500 0.000 0.129
10 As 0.500 0.500 0.500

Results
Formation energy ... -0.8041 eV/atom
Final energy ... -6.2956 eV/atom
Density of states at the Fermi level ... 1.151 states/eV/atom
Mass density ... 8.170 g cm⁻³
Spin magnetization ... 0.0 μB per formula unit
Space group ... No. 115

***

This record from Alexandria via LeMat-Bulk describes crystalline Ce2Co4AsP3 at its relaxed geometry. The functional is PBE.

Cell lengths 4.024, 4.024, 9.102 Å; angles 90.00, 90.00, 90.00 degrees
Fractional positions:
1 Ce 0.000 0.500 0.246
2 Ce 0.500 0.000 0.754
3 Co 0.000 0.000 0.000
4 Co 0.000 0.500 0.620
5 Co 0.500 0.000 0.380
6 Co 0.500 0.500 0.000
7 As 0.000 0.000 0.500
8 P 0.000 0.500 0.870
9 P 0.500 0.000 0.130
10 P 0.500 0.500 0.500

Results
Formation energy ... -0.9594 eV/atom
Final energy ... -7.0765 eV/atom
Density of states at the Fermi level ... 0.615 states/eV/atom
Mass density ... 7.706 g cm⁻³
Spin magnetization ... 1.0 μB per formula unit
Space group ... No. 115

***

This record from Alexandria via LeMat-Bulk describes crystalline Ce2Co4As3P at its relaxed geometry. The functional is PBE.

Cell lengths 4.114, 4.114, 9.242 Å; angles 90.00, 90.00, 90.00 degrees
Fractional positions:
1 Ce 0.000 0.500 0.248
2 Ce 0.500 0.000 0.752
3 Co 0.000 0.000 0.500
4 Co 0.000 0.500 0.891
5 Co 0.500 0.000 0.109
6 Co 0.500 0.500 0.500
7 As 0.000 0.000 0.000
8 As 0.000 0.500 0.635
9 As 0.500 0.000 0.365
10 P 0.500 0.500 0.000

Results
Formation energy ... -0.8480 eV/atom
Final energy ... -6.8129 eV/atom
Density of states at the Fermi level ... 0.577 states/eV/atom
Mass density ... 8.191 g cm⁻³
Spin magnetization ... 1.1 μB per formula unit
Space group ... No. 115

***

This record from Alexandria via LeMat-Bulk describes crystalline Ce2Co3As4Pd at its relaxed geometry. The functional is PBE.

Cell lengths 4.203, 4.203, 9.527 Å; angles 90.00, 90.00, 90.00 degrees
Fractional positions:
1 Ce 0.000 0.500 0.243
2 Ce 0.500 0.000 0.757
3 Co 0.000 0.500 0.889
4 Co 0.500 0.000 0.111
5 Co 0.500 0.500 0.500
6 As 0.000 0.000 0.000
7 As 0.000 0.500 0.646
8 As 0.500 0.000 0.354
9 As 0.500 0.500 0.000
10 Pd 0.000 0.000 0.500

Results
Formation energy ... -0.8106 eV/atom
Final energy ... -6.5083 eV/atom
Density of states at the Fermi level ... 0.718 states/eV/atom
Mass density ... 8.516 g cm⁻³
Spin magnetization ... 1.2 μB per formula unit
Space group ... No. 115

***

This record from Alexandria via LeMat-Bulk describes crystalline Ce2CoAs4Pt3 at its relaxed geometry. The functional is PBE.

Cell lengths 4.346, 4.346, 10.086 Å; angles 90.00, 90.00, 90.00 degrees
Fractional positions:
1 Ce 0.000 0.500 0.243
2 Ce 0.500 0.000 0.757
3 Co 0.500 0.500 0.000
4 As 0.000 0.000 0.500
5 As 0.000 0.500 0.873
6 As 0.500 0.000 0.127
7 As 0.500 0.500 0.500
8 Pt 0.000 0.000 0.000
9 Pt 0.000 0.500 0.629
10 Pt 0.500 0.000 0.371

Results
Formation energy ... -0.7920 eV/atom
Final energy ... -6.3614 eV/atom
Density of states at the Fermi level ... 1.515 states/eV/atom
Mass density ... 10.668 g cm⁻³
Spin magnetization ... 2.7 μB per formula unit
Space group ... No. 115